Material: KTaAlGe2
Method: DFT, GGA-PBE
State: relaxed

Computed properties:
Uncorrected energy ... -4.28 eV/atom
DOS at the Fermi energy ... 2.23 states/eV/cell
Calculated formation energy ... 0.90 eV/atom
Mass density ... 4.102 g/cm3
Magnetic moment ... 1.05 Bohr magnetons per cell

```
data_KTaAlGe2
_symmetry_space_group_name_H-M 'P 4/m m m'
_symmetry_Int_Tables_number 123
_symmetry_space_group_name_Hall '-P 4 2'
_cell_length_a 5.070
_cell_length_b 5.070
_cell_length_c 6.178
_cell_angle_alpha 90.00
_cell_angle_beta 90.00
_cell_angle_gamma 90.00
loop_
_atom_site_label
_atom_site_type_symbol
_atom_site_fract_x
_atom_site_fract_y
_atom_site_fract_z
_atom_site_occupancy
K1 K 0.000 0.000 0.000 1
Ta1 Ta 0.000 0.000 0.500 1
Al1 Al 0.500 0.500 0.000 1
Ge1 Ge 0.000 0.500 0.500 1
```

***

Material: CaTbGaIr
Method: DFT, GGA-PBE
State: relaxed

Computed properties:
Uncorrected energy ... -5.12 eV/atom
DOS at the Fermi energy ... 10.42 states/eV/cell
Calculated formation energy ... -0.49 eV/atom
Mass density ... 8.879 g/cm3
ΔE to the lowest computed polymorph ... 123 meV/atom
Magnetic moment ... 0.00 Bohr magnetons per cell

```
data_CaTbGaIr
_symmetry_space_group_name_H-M 'F -4 3 m'
_symmetry_Int_Tables_number 216
_symmetry_space_group_name_Hall 'F -4 2 3'
_cell_length_a 7.012
_cell_length_b 7.012
_cell_length_c 7.012
_cell_angle_alpha 90.00
_cell_angle_beta 90.00
_cell_angle_gamma 90.00
loop_
_atom_site_label
_atom_site_type_symbol
_atom_site_fract_x
_atom_site_fract_y
_atom_site_fract_z
_atom_site_occupancy
Ca1 Ca 0.000 0.000 0.000 1
Tb1 Tb 0.000 0.000 0.500 1
Ga1 Ga 0.250 0.250 0.750 1
Ir1 Ir 0.250 0.250 0.250 1
```

***

Material: KCdO
Method: DFT, GGA-PBE
State: relaxed

Computed properties:
Uncorrected energy ... -3.20 eV/atom
DOS at the Fermi energy ... 1.21 states/eV/cell
Mass density ... 3.802 g/cm3
ΔE to the lowest computed polymorph ... 0 meV/atom
Magnetic moment ... 0.00 Bohr magnetons per cell
Formation energy (no corrections) ... -0.879 eV/atom

```
data_KCdO
_symmetry_space_group_name_H-M 'P 1 21/m 1'
_symmetry_Int_Tables_number 11
_cell_length_a 5.554
_cell_length_b 3.432
_cell_length_c 8.131
_cell_angle_alpha 90.00
_cell_angle_beta 109.26
_cell_angle_gamma 90.00
loop_
_symmetry_equiv_pos_as_xyz
'x,y,z'
'-x,-y,-z'
'-x,y+1/2,-z'
'x,-y+1/2,z'
loop_
_atom_site_label
_atom_site_type_symbol
_atom_site_fract_x
_atom_site_fract_y
_atom_site_fract_z
_atom_site_occupancy
K1 K 0.198 0.250 0.393 1
Cd1 Cd 0.419 0.250 0.846 1
O1 O 0.326 0.750 0.659 1
```

***

Please write out number 3 again, unchanged.
Material: KCdO
Method: DFT, GGA-PBE
State: relaxed

Computed properties:
Uncorrected energy ... -3.20 eV/atom
DOS at the Fermi energy ... 1.21 states/eV/cell
Mass density ... 3.802 g/cm3
ΔE to the lowest computed polymorph ... 0 meV/atom
Magnetic moment ... 0.00 Bohr magnetons per cell
Formation energy (no corrections) ... -0.879 eV/atom

```
data_KCdO
_symmetry_space_group_name_H-M 'P 1 21/m 1'
_symmetry_Int_Tables_number 11
_cell_length_a 5.554
_cell_length_b 3.432
_cell_length_c 8.131
_cell_angle_alpha 90.00
_cell_angle_beta 109.26
_cell_angle_gamma 90.00
loop_
_symmetry_equiv_pos_as_xyz
'x,y,z'
'-x,-y,-z'
'-x,y+1/2,-z'
'x,-y+1/2,z'
loop_
_atom_site_label
_atom_site_type_symbol
_atom_site_fract_x
_atom_site_fract_y
_atom_site_fract_z
_atom_site_occupancy
K1 K 0.198 0.250 0.393 1
Cd1 Cd 0.419 0.250 0.846 1
O1 O 0.326 0.750 0.659 1
```